Entry a
# LiAcF3 PBE relaxed
# * N(E_F): 3.43 states/eV/cell
# * V: 16.76 Å³/atom
# * magnetic moment: 0.0 μB/cell
data_LiAcF3
_chemical_formula_sum 'Li4 Ac4 F12'
_cell_length_a 7.831
_cell_length_b 5.347
_cell_length_c 8.252
_cell_angle_alpha 90.00
_cell_angle_beta 103.98
_cell_angle_gamma 90.00
_symmetry_space_group_name_H-M 'P 1 21/c 1'
_symmetry_Int_Tables_number 14
loop_
_symmetry_equiv_pos_as_xyz
'x,y,z'
'-x,-y,-z'
'-x,y+1/2,-z+1/2'
'x,-y+1/2,z+1/2'
loop_
_atom_site_label
_atom_site_fract_x
_atom_site_fract_y
_atom_site_fract_z
Li1 0.061 0.237 0.018
Ac1 0.313 0.741 0.328
F1 0.025 0.502 0.336
F2 0.165 0.563 0.039
F3 0.487 0.131 0.360

---

Entry b
# LiAcF3 PBE relaxed
# * N(E_F): 1.16 states/eV/cell
# * V: 13.18 Å³/atom
# * magnetic moment: 0.0 μB/cell
data_LiAcF3
_chemical_formula_sum 'Li1 Ac1 F3'
_cell_length_a 4.039
_cell_length_b 4.039
_cell_length_c 4.039
_cell_angle_alpha 90.00
_cell_angle_beta 90.00
_cell_angle_gamma 90.00
_symmetry_space_group_name_H-M 'P m -3 m'
_symmetry_Int_Tables_number 221
_symmetry_space_group_name_Hall '-P 4 2 3'
loop_
_atom_site_label
_atom_site_fract_x
_atom_site_fract_y
_atom_site_fract_z
Li1 0.000 0.000 0.000
Ac1 0.500 0.500 0.500
F1 0.000 0.000 0.500

---

Result of the stability comparison: entry b is the least stable of them.

---

Entry a
# NaAcNF PBE relaxed
# * N(E_F): 0.00 states/eV/cell
# * V: 15.53 Å³/atom
# * magnetic moment: 0.0 μB/cell
data_NaAcNF
_chemical_formula_sum 'Na4 Ac4 N4 F4'
_cell_length_a 6.287
_cell_length_b 6.287
_cell_length_c 6.287
_cell_angle_alpha 90.00
_cell_angle_beta 90.00
_cell_angle_gamma 90.00
_symmetry_space_group_name_H-M 'F -4 3 m'
_symmetry_Int_Tables_number 216
_symmetry_space_group_name_Hall 'F -4 2 3'
loop_
_atom_site_label
_atom_site_fract_x
_atom_site_fract_y
_atom_site_fract_z
Na1 0.000 0.000 0.000
Ac1 0.000 0.000 0.500
N1 0.250 0.250 0.250
F1 0.250 0.250 0.750

---

Entry b
# NaAcNF PBE relaxed
# * V: 19.33 Å³/atom
# * magnetic moment: 0.0 μB/cell
data_NaAcNF
_chemical_formula_sum 'Na3 Ac3 N3 F3'
_cell_length_a 3.8766
_cell_length_b 3.8766
_cell_length_c 17.8261
_cell_angle_alpha 90.00
_cell_angle_beta 90.00
_cell_angle_gamma 120.00
_symmetry_space_group_name_H-M 'R 3 m'
_symmetry_Int_Tables_number 160
_symmetry_space_group_name_Hall 'R 3 -2"'
loop_
_atom_site_label
_atom_site_fract_x
_atom_site_fract_y
_atom_site_fract_z
Na1 0.0000 0.0000 0.0000
Ac1 0.0000 0.0000 0.5184
N1 0.0000 0.0000 0.2439
F1 0.0000 0.0000 0.7560

---

Result of the stability comparison: entry a is the least stable of them.

---

Entry a
# NaAcF2 PBE relaxed
# * N(E_F): 1.61 states/eV/cell
# * V: 19.34 Å³/atom
# * magnetic moment: 0.0 μB/cell
data_NaAcF2
_chemical_formula_sum 'Na1 Ac1 F2'
_cell_length_a 3.275
_cell_length_b 3.275
_cell_length_c 7.210
_cell_angle_alpha 90.00
_cell_angle_beta 90.00
_cell_angle_gamma 90.00
_symmetry_space_group_name_H-M 'P 4/m m m'
_symmetry_Int_Tables_number 123
_symmetry_space_group_name_Hall '-P 4 2'
loop_
_atom_site_label
_atom_site_fract_x
_atom_site_fract_y
_atom_site_fract_z
Na1 0.000 0.000 0.000
Ac1 0.000 0.000 0.500
F1 0.500 0.500 0.205

---

Entry b
# NaAcF2 PBE relaxed
# * N(E_F): 5.56 states/eV/cell
# * V: 18.45 Å³/atom
# * magnetic moment: 0.5 μB/cell
data_NaAcF2
_chemical_formula_sum 'Na3 Ac3 F6'
_cell_length_a 3.6139
_cell_length_b 3.6139
_cell_length_c 19.5712
_cell_angle_alpha 90.00
_cell_angle_beta 90.00
_cell_angle_gamma 120.00
_symmetry_space_group_name_H-M 'R -3 m'
_symmetry_Int_Tables_number 166
_symmetry_space_group_name_Hall '-R 3 2"'
loop_
_atom_site_label
_atom_site_fract_x
_atom_site_fract_y
_atom_site_fract_z
Na1 0.0000 0.0000 0.0000
Ac1 0.0000 0.0000 0.5000
F1 0.0000 0.0000 0.2684

---

Result of the stability comparison: entry a is the least stable of them.